This record from Alexandria describes a geometry-optimized La2Ce2Pb3 structure. The functional is PBE.

Output
* energy above the most stable polymorph in this dataset: 0.098 eV/atom
* ΔH_f (0 K): -229 meV per atom

Unit cell a=4.5948 b=7.7454 c=8.0814 alpha=99.48 beta=90.00 gamma=107.25
Last column: nearest neighbours and their distance in Å.
Element x y z (fractional)
1 Ce 0.6271 0.2542 0.8831  5 Pb 3.20-3.23
2 Ce 0.3729 0.7458 0.1169  5 Pb 3.20-3.23
3 La 0.8754 0.7510 0.6257  4 Pb 3.25-3.26
4 La 0.1246 0.2490 0.3743  4 Pb 3.25-3.26
5 Pb 0.7537 0.5072 0.2508  3 Ce 3.20-3.23, 3 La 3.25
6 Pb 0.2463 0.4928 0.7492  3 Ce 3.20-3.23, 3 La 3.25
7 Pb 0.0000 0.0000 0.0000  4 Ce 3.21, 2 La 3.26

---

This record from Alexandria describes a geometry-optimized LaCePb structure. The functional is PBE.

Output
* energy above the most stable polymorph in this dataset: 0.000 eV/atom
* ΔH_f (0 K): -442 meV per atom

Unit cell a=4.4770 b=10.2683 c=8.4434 alpha=90.00 beta=90.00 gamma=90.00
Last column: nearest neighbours and their distance in Å.
Element x y z (fractional)
1 Ce 0.2500 0.5435 0.4140  2 Ce 2.81
2 Ce 0.7500 0.4565 0.5860  2 Ce 2.81
3 Ce 0.2500 0.9565 0.9140  2 Ce 2.81
4 Ce 0.7500 0.0435 0.0860  2 Ce 2.81
5 La 0.7500 0.8372 0.5700  5 Pb 3.34-3.45
6 La 0.7500 0.6628 0.0700  5 Pb 3.34-3.45
7 La 0.2500 0.1628 0.4300  5 Pb 3.34-3.45
8 La 0.2500 0.3372 0.9300  5 Pb 3.34-3.45
9 Pb 0.2500 0.6487 0.7770  4 Ce 3.25-3.39, 5 La 3.34-3.45
10 Pb 0.7500 0.1487 0.7230  4 Ce 3.25-3.39, 5 La 3.34-3.45
11 Pb 0.7500 0.3513 0.2230  4 Ce 3.25-3.39, 5 La 3.34-3.45
12 Pb 0.2500 0.8513 0.2770  4 Ce 3.25-3.39, 5 La 3.34-3.45

---

This record from Alexandria describes a geometry-optimized LaCePdPb structure. The functional is PBE.

Output
* ΔH_f (0 K): -490 meV per atom

Unit cell a=5.4200 b=5.4200 c=5.4200 alpha=60.00 beta=60.00 gamma=60.00
Last column: nearest neighbours and their distance in Å.
Element x y z (fractional)
1 Pb 0.7500 0.7500 0.7500  4 Ce 3.32, 4 La 3.32
2 Ce 0.0000 0.0000 0.0000  4 Pd 3.32, 4 Pb 3.32
3 La 0.5000 0.5000 0.5000  4 Pb 3.32, 4 Pd 3.32
4 Pd 0.2500 0.2500 0.2500  4 La 3.32, 4 Ce 3.32

---

This record from Alexandria describes a geometry-optimized LaCePmPb structure. The functional is PBE.

Output
* ΔH_f (0 K): -102 meV per atom

Unit cell a=5.6448 b=5.6448 c=5.6448 alpha=60.00 beta=60.00 gamma=60.00
Last column: nearest neighbours and their distance in Å.
Element x y z (fractional)
1 Pb 0.2500 0.2500 0.2500  4 La 3.46, 4 Ce 3.46
2 La 0.5000 0.5000 0.5000  4 Pb 3.46, 4 Pm 3.46
3 Pm 0.7500 0.7500 0.7500  4 La 3.46, 4 Ce 3.46
4 Ce 0.0000 0.0000 0.0000  4 Pm 3.46, 4 Pb 3.46

---

This record from Alexandria describes a geometry-optimized LaCePm2Pb4 structure. The functional is PBE.

Output
* ΔH_f (0 K): -459 meV per atom

Unit cell a=5.2266 b=5.2266 c=11.3496 alpha=76.69 beta=76.69 gamma=60.00
Last column: nearest neighbours and their distance in Å.
Element x y z (fractional)
1 Pb 0.1273 0.1273 0.6181  3 Ce 3.28, 3 Pm 3.31
2 Pb 0.3792 0.3792 0.8623  3 Pm 3.29, 3 La 3.37
3 Pb 0.6208 0.6208 0.1377  3 Pm 3.29, 3 La 3.37
4 Pb 0.8727 0.8727 0.3819  3 Ce 3.28, 3 Pm 3.31
5 Pm 0.2475 0.2475 0.2576  6 Pb 3.29-3.31
6 Pm 0.7525 0.7525 0.7424  6 Pb 3.29-3.31
7 La 0.0000 0.0000 0.0000  6 Pb 3.37
8 Ce 0.5000 0.5000 0.5000  6 Pb 3.28

---

This record from Alexandria describes a geometry-optimized LaCePrPb structure. The functional is PBE.

Output
* ΔH_f (0 K): -112 meV per atom

Unit cell a=5.6307 b=5.6307 c=5.6307 alpha=60.00 beta=60.00 gamma=60.00
Last column: nearest neighbours and their distance in Å.
Element x y z (fractional)
1 Ce 0.7500 0.7500 0.7500  4 Pr 3.45, 4 La 3.45
2 La 0.5000 0.5000 0.5000  4 Ce 3.45, 4 Pb 3.45
3 Pb 0.2500 0.2500 0.2500  4 La 3.45, 4 Pr 3.45
4 Pr 0.0000 0.0000 0.0000  4 Pb 3.45, 4 Ce 3.45

---

This record from Alexandria describes a geometry-optimized LaCe2PuPb4 structure. The functional is PBE.

Output
* ΔH_f (0 K): -310 meV per atom

Unit cell a=5.5409 b=5.5409 c=9.7530 alpha=73.50 beta=73.50 gamma=60.00
Last column: nearest neighbours and their distance in Å.
Element x y z (fractional)
1 Pb 0.8746 0.8746 0.3762  4 Ce 3.32-3.36, 3 Pu 3.40, 1 La 3.47
2 Pb 0.3765 0.3765 0.8706  3 La 3.41, 1 Pu 3.41, 4 Ce 3.43-3.62
3 Pb 0.6235 0.6235 0.1294  3 La 3.41, 1 Pu 3.41, 4 Ce 3.43-3.62
4 Pb 0.1254 0.1254 0.6238  4 Ce 3.32-3.36, 3 Pu 3.40, 1 La 3.47
5 Ce 0.2454 0.2454 0.2639  8 Pb 3.32-3.62
6 Ce 0.7546 0.7546 0.7361  8 Pb 3.32-3.62
7 La 0.0000 0.0000 0.0000  8 Pb 3.41-3.47
8 Pu 0.5000 0.5000 0.5000  8 Pb 3.40-3.41

---

This record from Alexandria describes a geometry-optimized La3CePb2Se structure. The functional is PBE.

Output
* formation energy without anion corrections: -685 meV/atom

Unit cell a=5.4435 b=5.5166 c=9.3277 alpha=107.20 beta=106.97 gamma=90.00
Last column: nearest neighbours and their distance in Å.
Element x y z (fractional)
1 La 0.8253 0.8253 0.6505  1 Se 2.97, 1 Pb 3.30
2 La 0.1747 0.1747 0.3495  1 Se 2.97, 1 Pb 3.30
3 La 0.0000 0.5000 0.0000  2 Se 2.76
4 Pb 0.3690 0.3690 0.7380  3 La 3.30-3.51, 2 Ce 3.54
5 Pb 0.6310 0.6310 0.2620  3 La 3.30-3.51, 2 Ce 3.54
6 Ce 0.5000 0.0000 0.0000  2 Se 2.72
7 Se 0.0000 0.0000 0.0000  2 Ce 2.72, 4 La 2.76-2.97

---

In the order shown, the computed V values come out to 270.55, 388.15, 112.58, 127.18, 258.84, 126.23, 244.97, 254.79 Å³/cell.
In the order shown, the computed total moment values come out to 2.116, 1.090, 1.225, 1.955, 0.895, 0.783, 8.906, 0.998 μB per formula unit.
In the order shown, the computed N(E_F) values come out to 11.3, 20.7, 9.2, 11.2, 10.9, 9.6, 27.5, 9.2 states/eV per cell.